[1]
## EuCu4Pt (PBE-GGA)

Data for a relaxed EuCu4Pt crystal.

Unit cell a=5.066 b=5.066 c=5.066 alpha=60.00 beta=60.00 gamma=60.00
Fractional coordinates of all 6 atoms:
Eu1 0.000 0.000 0.000
Cu1 0.128 0.624 0.624
Cu2 0.624 0.128 0.624
Cu3 0.624 0.624 0.128
Cu4 0.624 0.624 0.624
Pt1 0.250 0.250 0.250

Energy of formation in kJ per mole of atoms: -23.1
Total magnetization in μB/f.u.: 6.956

***

[2]
## Fe3TcPd (PBE-GGA)

Data for a relaxed Fe3TcPd crystal.

Unit cell a=4.401 b=4.401 c=4.401 alpha=90.00 beta=90.00 gamma=90.00
Fractional coordinates of all 5 atoms:
Fe1 0.000 0.000 0.500
Fe2 0.000 0.500 0.000
Fe3 0.500 0.000 0.000
Tc1 0.000 0.000 0.000
Pd1 0.500 0.500 0.500

Energy above the most stable polymorph in this dataset in meV/atom: 0.0
Energy of formation in kJ per mole of atoms: 131.7
Total magnetization in μB/f.u.: 5.438

***

[3]
## Ca5Zn2Ag (PBE-GGA)

Data for a relaxed Ca5Zn2Ag crystal.

Unit cell a=9.401 b=9.401 c=9.401 alpha=130.25 beta=130.25 gamma=73.00
Fractional coordinates of all 16 atoms:
Ca1 0.000 0.000 0.000
Ca2 0.023 0.523 0.839
Ca3 0.184 0.023 0.500
Ca4 0.316 0.816 0.839
Ca5 0.477 0.316 0.500
Ca6 0.500 0.500 0.000
Ca7 0.523 0.684 0.500
Ca8 0.684 0.184 0.161
Ca9 0.816 0.977 0.500
Ca10 0.977 0.477 0.161
Zn1 0.119 0.381 0.500
Zn2 0.381 0.881 0.263
Zn3 0.619 0.119 0.737
Zn4 0.881 0.619 0.500
Ag1 0.250 0.250 0.000
Ag2 0.750 0.750 0.000

Energy of formation in kJ per mole of atoms: -21.7
Total magnetization in μB/f.u.: 0.000

***

[4]
## YMoPb3 (PBE-GGA)

Data for a relaxed YMoPb3 crystal.

Unit cell a=5.388 b=5.388 c=5.388 alpha=90.00 beta=90.00 gamma=90.00
Fractional coordinates of all 5 atoms:
Y1 0.000 0.000 0.000
Mo1 0.500 0.500 0.500
Pb1 0.000 0.500 0.500
Pb2 0.500 0.000 0.500
Pb3 0.500 0.500 0.000

Energy above the most stable polymorph in this dataset in meV/atom: 0.0
Energy of formation in kJ per mole of atoms: 49.5
Total magnetization in μB/f.u.: 0.792

***

[5]
## LaDy2PaAs4 (PBE-GGA)

Data for a relaxed LaDy2PaAs4 crystal.

Unit cell a=7.219 b=7.219 c=7.219 alpha=131.79 beta=131.79 gamma=70.56
Fractional coordinates of all 8 atoms:
La1 0.000 0.000 0.000
Dy1 0.500 0.500 0.000
Dy2 0.750 0.250 0.500
Pa1 0.250 0.750 0.500
As1 0.006 0.506 0.500
As2 0.255 0.255 0.000
As3 0.494 0.994 0.500
As4 0.745 0.745 0.000

Energy of formation in kJ per mole of atoms: -135.4
Total magnetization in μB/f.u.: 0.002

***

[6]
## AcTb5PmNd2 (PBE-GGA)

Data for a relaxed AcTb5PmNd2 crystal.

Unit cell a=10.095 b=10.095 c=10.095 alpha=127.91 beta=127.91 gamma=76.77
Fractional coordinates of all 18 atoms:
Ac1 0.250 0.250 0.000
Ac2 0.750 0.750 0.000
Tb1 0.000 0.000 0.000
Tb2 0.073 0.573 0.911
Tb3 0.161 0.073 0.500
Tb4 0.339 0.839 0.911
Tb5 0.427 0.339 0.500
Tb6 0.500 0.500 0.000
Tb7 0.573 0.661 0.500
Tb8 0.661 0.161 0.089
Tb9 0.839 0.927 0.500
Tb10 0.927 0.427 0.089
Pm1 0.250 0.750 0.500
Pm2 0.750 0.250 0.500
Nd1 0.118 0.382 0.500
Nd2 0.382 0.882 0.265
Nd3 0.618 0.118 0.735
Nd4 0.882 0.618 0.500

Energy of formation in kJ per mole of atoms: 23.5
Total magnetization in μB/f.u.: 0.000

***

[7]
## CuPbF4 (PBE-GGA)

Data for a relaxed CuPbF4 crystal.

Unit cell a=6.323 b=6.323 c=6.168 alpha=105.92 beta=105.92 gamma=54.98
Fractional coordinates of all 12 atoms:
Cu1 0.000 0.500 0.000
Cu2 0.500 0.000 0.500
Pb1 0.249 0.751 0.750
Pb2 0.751 0.249 0.250
F1 0.112 0.160 0.044
F2 0.160 0.112 0.544
F3 0.340 0.394 0.962
F4 0.394 0.340 0.462
F5 0.606 0.660 0.538
F6 0.660 0.606 0.038
F7 0.840 0.888 0.456
F8 0.888 0.840 0.956

Energy relative to the elements, uncorrected in eV/atom: -1.9628
Energy above the most stable polymorph in this dataset in meV/atom: 0.0
Total magnetization in μB/f.u.: 0.995

***

[8]
## K2SrSc (PBE-GGA)

Data for a relaxed K2SrSc crystal.

Unit cell a=6.542 b=6.542 c=6.542 alpha=60.00 beta=60.00 gamma=60.00
Fractional coordinates of all 4 atoms:
K1 0.000 0.000 0.000
K2 0.250 0.250 0.250
Sr1 0.750 0.750 0.750
Sc1 0.500 0.500 0.500

Energy above the most stable polymorph in this dataset in meV/atom: 194.0
Energy of formation in kJ per mole of atoms: 52.9
Total magnetization in μB/f.u.: 1.444

***

[9]
## Tb3Sm3Y2 (PBE-GGA)

Data for a relaxed Tb3Sm3Y2 crystal.

Unit cell a=8.633 b=8.633 c=6.039 alpha=109.89 beta=109.89 gamma=39.05
Fractional coordinates of all 8 atoms:
Tb1 0.000 0.000 0.000
Tb2 0.132 0.132 0.577
Tb3 0.868 0.868 0.423
Sm1 0.367 0.367 0.808
Sm2 0.500 0.500 0.500
Sm3 0.633 0.633 0.192
Y1 0.250 0.250 0.185
Y2 0.750 0.750 0.815

Energy above the most stable polymorph in this dataset in meV/atom: 70.4
Energy of formation in kJ per mole of atoms: 8.6
Total magnetization in μB/f.u.: 0.000

***

[10]
## CeHgH6Ru (PBE-GGA)

Data for a relaxed CeHgH6Ru crystal.

Unit cell a=4.836 b=4.836 c=4.490 alpha=90.00 beta=90.00 gamma=120.00
Fractional coordinates of all 9 atoms:
Ce1 0.000 0.000 0.000
Hg1 0.333 0.667 0.500
H1 0.528 0.057 0.214
H2 0.528 0.057 0.786
H3 0.528 0.472 0.214
H4 0.528 0.472 0.786
H5 0.943 0.472 0.214
H6 0.943 0.472 0.786
Ru1 0.667 0.333 0.500

Total magnetization in μB/f.u.: 0.942
DFT total energy in eV per atom: -4.037

***

[11]
## Mn2OsW2 (PBE-GGA)

Data for a relaxed Mn2OsW2 crystal.

Unit cell a=6.770 b=6.770 c=3.017 alpha=90.00 beta=90.00 gamma=90.00
Fractional coordinates of all 10 atoms:
Mn1 0.117 0.383 0.000
Mn2 0.383 0.883 0.000
Mn3 0.617 0.117 0.000
Mn4 0.883 0.617 0.000
Os1 0.000 0.000 0.000
Os2 0.500 0.500 0.000
W1 0.186 0.686 0.500
W2 0.314 0.186 0.500
W3 0.686 0.814 0.500
W4 0.814 0.314 0.500

Energy of formation in kJ per mole of atoms: 26.9
Total magnetization in μB/f.u.: 0.000

***

[12]
## Nd2HoTm6 (PBE-GGA)

Data for a relaxed Nd2HoTm6 crystal.

Unit cell a=9.510 b=9.510 c=6.510 alpha=99.05 beta=99.05 gamma=95.94
Fractional coordinates of all 18 atoms:
Nd1 0.117 0.170 0.375
Nd2 0.170 0.117 0.875
Nd3 0.830 0.883 0.125
Nd4 0.883 0.830 0.625
Ho1 0.382 0.618 0.750
Ho2 0.618 0.382 0.250
Tm1 0.039 0.442 0.732
Tm2 0.153 0.775 0.997
Tm3 0.225 0.847 0.503
Tm4 0.279 0.458 0.186
Tm5 0.442 0.039 0.232
Tm6 0.458 0.279 0.686
Tm7 0.542 0.721 0.314
Tm8 0.558 0.961 0.768
Tm9 0.721 0.542 0.814
Tm10 0.775 0.153 0.497
Tm11 0.847 0.225 0.003
Tm12 0.961 0.558 0.268

Energy of formation in kJ per mole of atoms: 10.8
Total magnetization in μB/f.u.: 0.000